The following is a PBE calculation of a relaxed structure of Ac2Er2Tl3, from Alexandria via LeMat-Bulk.

Lattice parameters (Å, degrees): 13.584 13.584 3.624 90.00 90.00 160.28
Atoms (fractional coordinates):
Ac: 0.424 0.576 0.500
Ac: 0.576 0.424 0.500
Er: 0.295 0.705 0.500
Er: 0.705 0.295 0.500
Tl: 0.162 0.838 0.000
Tl: 0.000 0.000 0.000
Tl: 0.838 0.162 0.000

Values from the calculation:
**Raw total energy**: -3.688 eV per atom
**Magnetic moment**: 0.00 Bohr magnetons per cell
**Polymorph energy (0 for the lowest one)**: 0.000 eV per atom

=====

The following is a PBE calculation of a relaxed structure of Ca2AlAgH, from Alexandria via LeMat-Bulk.

Lattice parameters (Å, degrees): 5.094 5.094 3.917 90.00 90.00 90.00
Atoms (fractional coordinates):
H: 0.000 0.000 0.000
Ca: 0.000 0.500 0.000
Ca: 0.500 0.000 0.000
Al: 0.000 0.000 0.500
Ag: 0.500 0.500 0.500

Values from the calculation:
**Raw total energy**: -3.016 eV per atom
**Magnetic moment**: 0.00 Bohr magnetons per cell
**Polymorph energy (0 for the lowest one)**: 0.016 eV per atom

=====

The following is a PBE calculation of a relaxed structure of LiAcCuGe, from Alexandria via LeMat-Bulk.

Lattice parameters (Å, degrees): 4.889 4.889 4.889 60.00 60.00 60.00
Atoms (fractional coordinates):
Ac: 0.750 0.750 0.750
Ge: 0.250 0.250 0.250
Cu: 0.500 0.500 0.500
Li: 0.000 0.000 0.000

Values from the calculation:
**Raw total energy**: -3.904 eV per atom
**Magnetic moment**: 0.00 Bohr magnetons per cell

=====

The following is a PBE calculation of a relaxed structure of NaHg2Os2, from Alexandria via LeMat-Bulk.

Lattice parameters (Å, degrees): 3.660 3.660 7.907 76.62 76.62 90.00
Atoms (fractional coordinates):
Na: 0.000 0.000 0.000
Os: 0.750 0.250 0.500
Os: 0.250 0.750 0.500
Hg: 0.401 0.401 0.197
Hg: 0.599 0.599 0.803

Values from the calculation:
**Raw total energy**: -4.212 eV per atom
**Magnetic moment**: 0.00 Bohr magnetons per cell
**Polymorph energy (0 for the lowest one)**: 0.000 eV per atom

=====

The following is a PBE calculation of a relaxed structure of CsHf2Al2, from Alexandria via LeMat-Bulk.

Lattice parameters (Å, degrees): 9.102 9.102 3.074 90.00 90.00 90.00
Atoms (fractional coordinates):
Cs: 0.000 0.000 0.000
Cs: 0.500 0.500 0.000
Hf: 0.126 0.626 0.500
Hf: 0.626 0.874 0.500
Hf: 0.874 0.374 0.500
Hf: 0.374 0.126 0.500
Al: 0.342 0.842 0.000
Al: 0.842 0.658 0.000
Al: 0.658 0.158 0.000
Al: 0.158 0.342 0.000

Values from the calculation:
**Raw total energy**: -5.252 eV per atom
**Magnetic moment**: 0.00 Bohr magnetons per cell
**Polymorph energy (0 for the lowest one)**: 0.000 eV per atom

=====

The following is a PBE calculation of a relaxed structure of BaNdMg2Sn2, from Alexandria via LeMat-Bulk.

Lattice parameters (Å, degrees): 5.038 5.038 8.297 90.00 90.00 120.00
Atoms (fractional coordinates):
Ba: 0.000 0.000 0.000
Nd: 0.000 0.000 0.500
Mg: 0.333 0.667 0.689
Mg: 0.667 0.333 0.311
Sn: 0.333 0.667 0.277
Sn: 0.667 0.333 0.723

Values from the calculation:
**Raw total energy**: -3.513 eV per atom
**Magnetic moment**: 0.00 Bohr magnetons per cell

=====

The following is a PBE calculation of a relaxed structure of Ta2IrRu, from Alexandria via LeMat-Bulk.

Lattice parameters (Å, degrees): 3.090 3.536 6.021 90.00 90.00 90.00
Atoms (fractional coordinates):
Ir: 0.000 0.000 0.481
Ru: 0.500 0.500 0.772
Ta: 0.000 0.000 0.974
Ta: 0.500 0.500 0.273

Values from the calculation:
**Raw total energy**: -10.738 eV per atom
**Magnetic moment**: 0.00 Bohr magnetons per cell

=====

The following is a PBE calculation of a relaxed structure of La4Cd2InGa, from Alexandria via LeMat-Bulk.

Lattice parameters (Å, degrees): 5.516 5.516 9.555 73.22 73.22 60.00
Atoms (fractional coordinates):
La: 0.380 0.380 0.861
La: 0.870 0.870 0.389
La: 0.130 0.130 0.611
La: 0.620 0.620 0.139
Cd: 0.746 0.746 0.763
Cd: 0.254 0.254 0.237
In: 0.000 0.000 0.000
Ga: 0.500 0.500 0.500

Values from the calculation:
**Raw total energy**: -3.854 eV per atom
**Magnetic moment**: 0.00 Bohr magnetons per cell

=====

The following is a PBE calculation of a relaxed structure of SmI2Cl, from Alexandria via LeMat-Bulk.

Lattice parameters (Å, degrees): 4.470 5.411 8.483 89.13 74.96 90.01
Atoms (fractional coordinates):
Sm: 0.000 0.000 0.000
I: 0.370 0.994 0.263
I: 0.630 0.006 0.737
Cl: 0.001 0.500 0.000

Values from the calculation:
**Raw total energy**: -4.092 eV per atom
**Magnetic moment**: 0.00 Bohr magnetons per cell

=====

The following is a PBE calculation of a relaxed structure of Bi2MoAsRu, from Alexandria via LeMat-Bulk.

Lattice parameters (Å, degrees): 5.437 4.627 5.437 90.00 90.00 90.00
Each line ends with the local moment (μB).
Atoms (fractional coordinates):
Ru: 0.500 0.500 0.500  1.87
Mo: 0.000 0.500 0.000  0.80
As: 0.000 0.000 0.000  -0.01
Bi: 0.000 0.000 0.500  -0.07
Bi: 0.500 0.000 0.000  -0.08

Values from the calculation:
**Raw total energy**: -5.006 eV per atom
**Magnetic moment**: 2.79 Bohr magnetons per cell

=====

The following is a PBE calculation of a relaxed structure of CePuAg2, from Alexandria via LeMat-Bulk.

Lattice parameters (Å, degrees): 3.960 3.960 6.323 90.00 90.00 90.00
Each line ends with the local moment (μB).
Atoms (fractional coordinates):
Ag: 0.000 0.000 0.748  0.03
Ag: 0.000 0.000 0.252  0.03
Ce: 0.500 0.500 0.000  1.07
Pu: 0.500 0.500 0.500  5.60

Values from the calculation:
**Raw total energy**: -6.477 eV per atom
**Magnetic moment**: 7.44 Bohr magnetons per cell
**Polymorph energy (0 for the lowest one)**: 0.000 eV per atom

=====

The following is a PBE calculation of a relaxed structure of Al2SnPH, from Alexandria via LeMat-Bulk.

Lattice parameters (Å, degrees): 4.168 4.564 4.168 90.00 90.00 90.00
Atoms (fractional coordinates):
P: 0.000 0.500 0.000
Sn: 0.500 0.500 0.500
H: 0.000 0.000 0.000
Al: 0.000 0.000 0.500
Al: 0.500 0.000 0.000

Values from the calculation:
**Raw total energy**: -3.655 eV per atom
**Magnetic moment**: 0.00 Bohr magnetons per cell